Here is a PBEsol-optimized structure of Sr2MnAsC from the Alexandria database. Energies are from meta-GGA SCAN.

```
Sr2MnAsC
1.0
-3.895 1.111 -0.242
-1.478 -4.707 2.184
0.318 2.185 4.923
Sr As Mn C
2 1 1 1
direct
0.000 0.000 0.500 Sr
0.000 0.500 0.000 Sr
0.500 0.000 0.000 As
0.500 0.500 0.500 Mn
0.000 0.000 0.000 C
```

## Properties
Final energy ... -18.2643 eV/atom

Here is a PBEsol-optimized structure of Mg2TlTe from the Alexandria database. Energies are from meta-GGA SCAN.

```
Mg2TlTe
1.0
6.560 -0.018 0.000
-3.088 5.788 0.000
-1.736 -2.885 5.630
Tl Te Mg
2 2 4
direct
0.000 0.000 0.000 Tl
0.250 0.750 0.500 Tl
0.500 0.500 0.000 Te
0.750 0.250 0.500 Te
0.625 0.610 0.485 Mg
0.125 0.140 0.515 Mg
0.860 0.375 0.985 Mg
0.390 0.875 0.015 Mg
```

## Properties
Offset from the most stable computed form ... 0 meV per atom
ΔE_f (raw) ... -25.8 kJ/mol of atoms

Here is a PBEsol-optimized structure of TcRhW2 from the Alexandria database. Energies are from meta-GGA SCAN.

```
TcRhW2
1.0
-1.847 -2.074 -1.686
2.398 -2.191 0.067
-2.042 -2.087 4.806
Rh Tc W
1 1 2
direct
0.500 0.500 0.000 Rh
0.500 0.500 0.500 Tc
0.000 0.000 0.751 W
0.000 0.000 0.249 W
```

## Properties
Offset from the most stable computed form ... 153 meV per atom

Here is a PBEsol-optimized structure of MnSe2Cl from the Alexandria database. Energies are from meta-GGA SCAN.

```
MnSe2Cl
1.0
4.685 0.000 0.000
2.343 4.057 0.000
2.343 1.352 3.825
Mn Se Cl
1 2 1
direct
0.250 0.250 0.250 Mn
0.000 0.000 0.000 Se
0.750 0.750 0.750 Se
0.500 0.500 0.500 Cl
```

## Properties
Offset from the most stable computed form ... 757 meV per atom
ΔE_f (raw) ... 10.0 kJ/mol of atoms

Here is a PBEsol-optimized structure of MnMo3Cl from the Alexandria database. Energies are from meta-GGA SCAN.

```
MnMo3Cl
1.0
4.461 0.000 0.000
0.000 4.461 0.000
0.000 0.000 4.461
Mo Mn Cl
3 1 1
direct
0.000 0.500 0.000 Mo
0.000 0.000 0.500 Mo
0.500 0.000 0.000 Mo
0.000 0.000 0.000 Mn
0.500 0.500 0.500 Cl
```

## Properties
ΔE_f (raw) ... 149.9 kJ/mol of atoms

Here is a PBEsol-optimized structure of CeHo3S6 from the Alexandria database. Energies are from meta-GGA SCAN.

```
CeHo3S6
1.0
3.899 0.000 0.000
0.000 10.872 0.003
0.000 -3.582 10.559
Ce Ho S
2 6 12
direct
0.250 0.451 0.806 Ce
0.750 0.549 0.194 Ce
0.250 0.820 0.999 Ho
0.750 0.180 0.001 Ho
0.250 0.061 0.667 Ho
0.750 0.939 0.333 Ho
0.250 0.341 0.415 Ho
0.750 0.659 0.585 Ho
0.250 0.018 0.886 S
0.750 0.982 0.114 S
0.250 0.693 0.751 S
0.750 0.307 0.249 S
0.250 0.106 0.441 S
0.750 0.894 0.559 S
0.250 0.584 0.404 S
0.750 0.416 0.596 S
0.250 0.762 0.227 S
0.750 0.238 0.773 S
0.250 0.382 0.036 S
0.750 0.618 0.964 S
```

## Properties
ΔE_f (raw) ... -228.4 kJ/mol of atoms

Here is a PBEsol-optimized structure of BaCa2Cl from the Alexandria database. Energies are from meta-GGA SCAN.

```
BaCa2Cl
1.0
-3.568 -1.548 0.393
0.238 -6.319 -3.287
0.876 -6.007 3.733
Ca Ba Cl
2 1 1
direct
0.984 0.016 0.016 Ca
0.190 0.310 0.310 Ca
0.806 0.694 0.694 Ba
0.520 0.480 0.480 Cl
```

## Properties
Offset from the most stable computed form ... 0 meV per atom
ΔE_f (raw) ... -73.1 kJ/mol of atoms

Here is a PBEsol-optimized structure of RbGaBr4 from the Alexandria database. Energies are from meta-GGA SCAN.

```
RbGaBr4
1.0
7.389 0.000 0.000
0.000 9.873 0.000
0.000 0.000 11.704
Rb Ga Br
4 4 16
direct
0.250 0.670 0.183 Rb
0.750 0.330 0.817 Rb
0.750 0.170 0.317 Rb
0.250 0.830 0.683 Rb
0.250 0.192 0.061 Ga
0.750 0.808 0.939 Ga
0.750 0.692 0.439 Ga
0.250 0.308 0.561 Ga
0.250 0.399 0.378 Br
0.750 0.601 0.622 Br
0.750 0.899 0.122 Br
0.250 0.101 0.878 Br
0.250 0.033 0.208 Br
0.750 0.967 0.792 Br
0.750 0.533 0.292 Br
0.250 0.467 0.708 Br
0.994 0.331 0.082 Br
0.006 0.669 0.918 Br
0.006 0.831 0.418 Br
0.494 0.669 0.918 Br
0.994 0.169 0.582 Br
0.506 0.331 0.082 Br
0.506 0.169 0.582 Br
0.494 0.831 0.418 Br
```

## Properties
ΔE_f (raw) ... -126.6 kJ/mol of atoms

Here is a PBEsol-optimized structure of ScC3 from the Alexandria database. Energies are from meta-GGA SCAN.

```
ScC3
1.0
-1.186 2.195 -0.979
-2.386 -2.699 -3.158
-3.221 0.699 5.469
Sc C
2 6
direct
0.750 0.337 0.674 Sc
0.250 0.663 0.326 Sc
0.750 0.827 0.654 C
0.250 0.173 0.346 C
0.750 0.954 0.202 C
0.250 0.046 0.798 C
0.250 0.751 0.798 C
0.750 0.249 0.202 C
```

## Properties
Offset from the most stable computed form ... 0 meV per atom

Here is a PBEsol-optimized structure of SrEr2O4 from the Alexandria database. Energies are from meta-GGA SCAN.

```
SrEr2O4
1.0
3.356 0.000 0.000
0.000 9.927 0.000
0.000 0.000 11.739
Sr Er O
4 8 16
direct
0.250 0.748 0.850 Sr
0.250 0.248 0.650 Sr
0.750 0.252 0.150 Sr
0.750 0.752 0.350 Sr
0.750 0.423 0.890 Er
0.750 0.923 0.610 Er
0.750 0.423 0.388 Er
0.250 0.077 0.390 Er
0.250 0.577 0.612 Er
0.750 0.923 0.112 Er
0.250 0.577 0.110 Er
0.250 0.077 0.888 Er
0.750 0.515 0.217 O
0.250 0.375 0.020 O
0.250 0.789 0.173 O
0.750 0.211 0.827 O
0.750 0.625 0.980 O
0.250 0.985 0.717 O
0.250 0.875 0.480 O
0.250 0.574 0.423 O
0.750 0.926 0.923 O
0.750 0.125 0.520 O
0.750 0.711 0.673 O
0.250 0.289 0.327 O
0.750 0.426 0.577 O
0.250 0.074 0.077 O
0.250 0.485 0.783 O
0.750 0.015 0.283 O
```

## Properties
Offset from the most stable computed form ... 0 meV per atom
ΔE_f (raw) ... -359.3 kJ/mol of atoms

Here is a PBEsol-optimized structure of TlTeCl2 from the Alexandria database. Energies are from meta-GGA SCAN.

```
TlTeCl2
1.0
3.890 0.000 0.000
0.000 3.890 0.000
0.000 0.000 8.084
Tl Te Cl
1 1 2
direct
0.500 0.500 0.796 Tl
0.000 0.000 0.405 Te
0.000 0.000 0.949 Cl
0.500 0.500 0.350 Cl
```

## Properties
Offset from the most stable computed form ... 93 meV per atom
ΔE_f (raw) ... -32.4 kJ/mol of atoms

Here is a PBEsol-optimized structure of Cd2AgRh from the Alexandria database. Energies are from meta-GGA SCAN.

```
Cd2AgRh
1.0
-1.203 -0.560 -2.734
3.036 -1.879 -0.951
-2.463 -5.051 2.119
Rh Ag Cd
1 1 2
direct
0.500 0.500 0.000 Rh
0.500 0.500 0.500 Ag
0.000 0.000 0.762 Cd
0.000 0.000 0.238 Cd
```

## Properties
Offset from the most stable computed form ... 34 meV per atom

no.,theoretical density (g/cm3)
1,4.458
2,5.922
3,15.905
4,5.670
5,7.075
6,6.139
7,2.592
8,3.694
9,3.539
10,8.257
11,5.470
12,10.726